The following is a DFT calculation (PBE+U) of HfCdFe2O6 after structural relaxation.

POSCAR file:
```
HfCdFe2O6
1.0
5.269 -0.027 -0.037
2.611 4.678 0.042
2.593 1.611 4.741
Hf Cd Fe O
1 1 2 6
Direct
0.310 0.315 0.067
0.795 0.798 0.620
0.525 0.520 0.437
0.022 0.009 0.958
0.607 0.253 0.243
0.246 0.904 0.224
0.905 0.623 0.219
0.370 0.719 0.739
0.726 0.160 0.756
0.155 0.360 0.751
```

Calculated values
Total energy ... -70.5 eV/cell
Magnetic moment ... 0.799 μB per atom